A plane-wave DFT calculation with PBE was carried out for MgTl3Cd2F9 after structural relaxation.

The structure belongs to space group P-3m1 (No. 164); the cell edges are 6.1667, 6.1667 and 7.5628 Å and the angles 90.00°, 90.00° and 120.00°. The asymmetric unit holds Mg at (0.0000, 0.0000, 0.0000), Tl at (0.0000, 0.0000, 0.5000), Tl at (0.3333, 0.6667, 0.1736), Cd at (0.3333, 0.6667, 0.6835), F at (0.0000, 0.5000, 0.5000) and F at (0.1560, 0.3119, 0.8462).

For the volume, the calculation gives 249 Å³/cell. The uncorrected formation energy comes out at -2.310 eV per atom. Its theoretical density is 6889 kg/m³.